Record 1
This record from the Alexandria database describes a geometry-optimized NiMoRuPt structure. The functional is PBE-GGA.

Computed properties:
For the theoretical density, the calculation gives 13.06 g/cm³. For the formation energy, the calculation gives 0.12 eV per atom. The value obtained for the uncorrected energy is -7.86 eV/atom.

a b c (Å): 6.121 6.121 6.121
angles (deg): 90.00 90.00 90.00
Space group F-43m (No. 216)
Symmetry-distinct sites (fractional):
Ni 0.000 0.000 0.000 [4 per cell]
Mo 0.250 0.250 0.250 [4 per cell]
Ru 0.000 0.000 0.500 [4 per cell]
Pt 0.250 0.250 0.750 [4 per cell]

***

Record 2
This record from the Alexandria database describes a geometry-optimized La2MgScC structure. The functional is PBE-GGA.

Computed properties:
For the theoretical density, the calculation gives 4.53 g/cm³. For the formation energy, the calculation gives -0.13 eV per atom. The value obtained for the uncorrected energy is -5.54 eV/atom.

a b c (Å): 5.391 5.391 4.526
angles (deg): 90.00 90.00 90.00
Space group P4/mmm (No. 123)
Symmetry-distinct sites (fractional):
La 0.000 0.500 0.000 [2 per cell]
Mg 0.000 0.000 0.500 [1 per cell]
Sc 0.500 0.500 0.500 [1 per cell]
C 0.500 0.500 0.000 [1 per cell]

***

Record 3
This record from the Alexandria database describes a geometry-optimized Mn2CrCl structure. The functional is PBE-GGA.

Computed properties:
The energy above the most stable polymorph in this dataset comes out at 0.1211 eV per atom. For the theoretical density, the calculation gives 5.16 g/cm³. The value obtained for the uncorrected formation energy is 0.21 eV/atom. The value obtained for the uncorrected energy is -7.24 eV/atom.

a b c (Å): 3.1228 3.1228 22.5576
angles (deg): 90.00 90.00 120.00
Space group R3m (No. 160, hexagonal axes)
Symmetry-distinct sites (fractional):
Mn 0.0000 0.0000 0.0000 [3 per cell]
Mn 0.0000 0.0000 0.2517 [3 per cell]
Cr 0.0000 0.0000 0.7393 [3 per cell]
Cl 0.0000 0.0000 0.4989 [3 per cell]

***

Record 4
This record from the Alexandria database describes a geometry-optimized PbAuO structure. The functional is PBE-GGA.

Computed properties:
The energy above the most stable polymorph in this dataset comes out at 0.0000 eV per atom. For the theoretical density, the calculation gives 10.98 g/cm³. The value obtained for the uncorrected formation energy is -0.60 eV/atom. The value obtained for the uncorrected energy is -4.58 eV/atom.

a b c (Å): 5.607 5.661 16.016
angles (deg): 90.00 90.00 90.00
Space group Fmmm (No. 69)
Symmetry-distinct sites (fractional):
Pb 0.000 0.000 0.174 [8 per cell]
Au 0.244 0.000 0.500 [8 per cell]
O 0.250 0.250 0.250 [8 per cell]